1.
# La4Tm3Th2, optimized geometry, DFT PBE
# V = 33.60 Å³/atom
# N(E_F) = 13.9 states/eV/f.u.
# energy = -5.217 eV/atom
# formation enthalpy at 0 K = 1.01 eV/f.u.
data_La4Tm3Th2
_space_group_name_H-M_alt 'C 1 2/c 1'
_space_group_IT_number 15
_cell_length_a 16.331
_cell_length_b 11.988
_cell_length_c 6.237
_cell_angle_alpha 90.00
_cell_angle_beta 97.86
_cell_angle_gamma 90.00
loop_
_space_group_symop_operation_xyz
'x,y,z'
'-x,-y,-z'
'-x,y,-z+1/2'
'x,-y,z+1/2'
'x+1/2,y+1/2,z'
'-x+1/2,-y+1/2,-z'
'-x+1/2,y+1/2,-z+1/2'
'x+1/2,-y+1/2,z+1/2'
loop_
_atom_site_label
_atom_site_type_symbol
_atom_site_fract_x
_atom_site_fract_y
_atom_site_fract_z
_atom_site_occupancy
La1 La 0.052 0.140 0.017 1
La2 La 0.216 0.370 0.847 1
Tm1 Tm 0.000 0.394 0.750 1
Tm2 Tm 0.171 0.116 0.579 1
Th1 Th 0.107 0.361 0.312 1

***

2.
# Ac4TlSe3, optimized geometry, DFT PBE
# V = 33.85 Å³/atom
# N(E_F) = 3.1 states/eV/f.u.
# formation energy (no corrections) = -1.50 eV per atom
# energy = -5.152 eV/atom
data_Ac4TlSe3
_space_group_name_H-M_alt 'F m m m'
_space_group_IT_number 69
_space_group_name_Hall '-F 2 2'
_cell_length_a 9.140
_cell_length_b 9.148
_cell_length_c 12.955
_cell_angle_alpha 90.00
_cell_angle_beta 90.00
_cell_angle_gamma 90.00
loop_
_atom_site_label
_atom_site_type_symbol
_atom_site_fract_x
_atom_site_fract_y
_atom_site_fract_z
_atom_site_occupancy
Ac1 Ac 0.000 0.000 0.245 1
Ac2 Ac 0.250 0.250 0.000 1
Tl1 Tl 0.000 0.000 0.500 1
Se1 Se 0.000 0.000 0.000 1
Se2 Se 0.250 0.250 0.250 1

***

3.
# TcHPd, optimized geometry, DFT PBE
# V = 10.63 Å³/atom
# N(E_F) = 2.0 states/eV/f.u.
# energy = -6.237 eV/atom
data_TcHPd
_space_group_name_H-M_alt 'C 1 m 1'
_space_group_IT_number 8
_cell_length_a 9.387
_cell_length_b 2.795
_cell_length_c 4.929
_cell_angle_alpha 90.00
_cell_angle_beta 99.29
_cell_angle_gamma 90.00
loop_
_space_group_symop_operation_xyz
'x,y,z'
'x,-y,z'
'x+1/2,y+1/2,z'
'x+1/2,-y+1/2,z'
loop_
_atom_site_label
_atom_site_type_symbol
_atom_site_fract_x
_atom_site_fract_y
_atom_site_fract_z
_atom_site_occupancy
Tc1 Tc 0.000 0.000 0.000 1
Tc2 Tc 0.228 0.500 0.209 1
H1 H 0.364 0.000 0.104 1
H2 H 0.365 0.500 0.606 1
Pd1 Pd 0.237 0.000 0.722 1
Pd2 Pd 0.491 0.000 0.487 1

***

4.
# BaFe3Cl12, optimized geometry, DFT PBE
# V = 38.66 Å³/atom
# N(E_F) = 10.9 states/eV/f.u.
# formation energy (no corrections) = -1.04 eV per atom
# energy = -4.130 eV/atom
data_BaFe3Cl12
_space_group_name_H-M_alt 'R 3 c'
_space_group_IT_number 161
_space_group_name_Hall 'R 3 -2"c'
_cell_length_a 11.1118
_cell_length_b 11.1118
_cell_length_c 34.7089
_cell_angle_alpha 90.00
_cell_angle_beta 90.00
_cell_angle_gamma 120.00
loop_
_atom_site_label
_atom_site_type_symbol
_atom_site_fract_x
_atom_site_fract_y
_atom_site_fract_z
_atom_site_occupancy
Ba1 Ba 0.0000 0.0000 0.0000 1
Fe1 Fe 0.0091 0.3693 0.2771 1
Cl1 Cl 0.0056 0.4686 0.3315 1
Cl2 Cl 0.0473 0.5226 0.4512 1
Cl3 Cl 0.0808 0.5138 0.2278 1
Cl4 Cl 0.0971 0.5454 0.6000 1

***

> Number 1 is which compound?

La4Tm3Th2

***

> What is the formula in the second record?

Ac4TlSe3